The following is a GGA-PBEsol calculation of an optimized crystal structure of Sm2Ge2O7, from Alexandria.

abc: 6.909 6.909 12.598
angles: 90.00 90.00 90.00
Atoms (fractional coordinates):
Sm 0.124 0.349 0.115
Sm 0.151 0.624 0.365
Sm 0.349 0.124 0.885
Sm 0.376 0.849 0.135
Sm 0.624 0.151 0.635
Sm 0.651 0.876 0.385
Sm 0.849 0.376 0.865
Sm 0.876 0.651 0.615
Ge 0.099 0.155 0.629
Ge 0.155 0.099 0.371
Ge 0.345 0.599 0.879
Ge 0.401 0.655 0.621
Ge 0.599 0.345 0.121
Ge 0.655 0.401 0.379
Ge 0.845 0.901 0.871
Ge 0.901 0.845 0.129
O 0.026 0.076 0.876
O 0.063 0.663 0.178
O 0.076 0.026 0.124
O 0.144 0.311 0.296
O 0.163 0.437 0.928
O 0.189 0.644 0.546
O 0.198 0.198 0.500
O 0.302 0.698 0.750
O 0.311 0.144 0.704
O 0.337 0.937 0.322
O 0.356 0.811 0.954
O 0.424 0.526 0.126
O 0.437 0.163 0.072
O 0.474 0.576 0.374
O 0.526 0.424 0.874
O 0.563 0.837 0.572
O 0.576 0.474 0.626
O 0.644 0.189 0.454
O 0.663 0.063 0.822
O 0.689 0.856 0.204
O 0.698 0.302 0.250
O 0.802 0.802 0.000
O 0.811 0.356 0.046
O 0.837 0.563 0.428
O 0.856 0.689 0.796
O 0.924 0.974 0.624
O 0.937 0.337 0.678
O 0.974 0.924 0.376

raw formation energy	-2601	meV/atom
offset from the most stable computed form	5	meV/atom
symmetry	P4_12_12, No. 92
ρ	6.16	Mg/m³
M_tot	0.001	μB/cell
E	-7.766	eV/atom

The following is a GGA-PBEsol calculation of an optimized crystal structure of BaNaGa2Br, from Alexandria.

abc: 5.298 5.298 5.371
angles: 90.00 90.00 90.00
Atoms (fractional coordinates):
Ba 0.000 0.000 0.000
Na 0.500 0.500 0.500
Ga 0.000 0.500 0.500
Ga 0.500 0.000 0.500
Br 0.500 0.500 0.000

raw formation energy	-168	meV/atom
symmetry	P4/mmm, No. 123
ρ	4.18	Mg/m³
M_tot	0.001	μB/cell
E	-2.588	eV/atom

The following is a GGA-PBEsol calculation of an optimized crystal structure of Cs3AuSe, from Alexandria.

abc: 6.756 6.756 6.756
angles: 90.00 90.00 90.00
Atoms (fractional coordinates):
Cs 0.000 0.000 0.500
Cs 0.000 0.500 0.000
Cs 0.500 0.000 0.000
Au 0.500 0.500 0.500
Se 0.000 0.000 0.000

raw formation energy	-499	meV/atom
symmetry	Pm-3m, No. 221
ρ	3.63	Mg/m³
M_tot	0.000	μB/cell
E	-2.619	eV/atom

The following is a GGA-PBEsol calculation of an optimized crystal structure of Hf3ReF, from Alexandria.

abc: 4.371 4.371 4.371
angles: 90.00 90.00 90.00
Atoms (fractional coordinates):
Hf 0.000 0.000 0.500
Hf 0.000 0.500 0.000
Hf 0.500 0.000 0.000
Re 0.500 0.500 0.500
F 0.000 0.000 0.000

raw formation energy	-353	meV/atom
symmetry	Pm-3m, No. 221
ρ	14.73	Mg/m³
M_tot	0.000	μB/cell
E	-9.707	eV/atom

The following is a GGA-PBEsol calculation of an optimized crystal structure of PrGa3Pd, from Alexandria.

abc: 6.105 6.105 6.105
angles: 140.00 140.00 57.86
Atoms (fractional coordinates):
Pr 0.000 0.000 0.000
Ga 0.250 0.750 0.500
Ga 0.385 0.385 0.000
Ga 0.615 0.615 0.000
Pd 0.750 0.250 0.500

symmetry	I-4m2, No. 119
energy of formation from the pure elements	-3.65	eV per formula unit
ρ	8.13	Mg/m³
M_tot	0.000	μB/cell
E	-4.963	eV/atom

The following is a GGA-PBEsol calculation of an optimized crystal structure of Li4Ti3Nb2Co3O16, from Alexandria.

abc: 5.800 5.800 9.730
angles: 90.14 90.14 60.57
Atoms (fractional coordinates):
Li 0.000 0.000 0.000
Li 0.005 0.005 0.508
Li 0.342 0.342 0.418
Li 0.681 0.681 0.916
Ti 0.179 0.179 0.741
Ti 0.351 0.847 0.232
Ti 0.847 0.351 0.232
Nb 0.355 0.355 0.000
Nb 0.677 0.677 0.513
Co 0.193 0.651 0.727
Co 0.651 0.193 0.727
Co 0.831 0.831 0.225
O 0.003 0.003 0.812
O 0.038 0.475 0.861
O 0.168 0.675 0.111
O 0.169 0.169 0.115
O 0.332 0.332 0.617
O 0.341 0.846 0.604
O 0.475 0.038 0.861
O 0.497 0.497 0.867
O 0.515 0.975 0.353
O 0.524 0.524 0.345
O 0.669 0.669 0.118
O 0.675 0.168 0.111
O 0.841 0.841 0.603
O 0.846 0.341 0.604
O 0.975 0.515 0.353
O 0.999 0.999 0.317

raw formation energy	-2230	meV/atom
symmetry	Cm, No. 8
ρ	4.60	Mg/m³
M_tot	6.853	μB/cell
E	-8.004	eV/atom

The following is a GGA-PBEsol calculation of an optimized crystal structure of LiV3P5O19, from Alexandria.

abc: 8.405 8.405 6.297
angles: 99.11 99.11 113.04
Atoms (fractional coordinates):
Li 0.000 0.000 0.000
V 0.236 0.236 0.856
V 0.503 0.747 0.536
V 0.747 0.503 0.536
P 0.176 0.806 0.713
P 0.320 0.320 0.401
P 0.390 0.680 0.988
P 0.680 0.390 0.988
P 0.806 0.176 0.713
O 0.160 0.977 0.807
O 0.214 0.214 0.163
O 0.217 0.217 0.554
O 0.243 0.754 0.935
O 0.284 0.477 0.929
O 0.305 0.821 0.567
O 0.326 0.508 0.445
O 0.477 0.284 0.929
O 0.477 0.758 0.231
O 0.508 0.326 0.445
O 0.523 0.744 0.847
O 0.660 0.990 0.608
O 0.669 0.669 0.532
O 0.744 0.523 0.847
O 0.754 0.243 0.935
O 0.758 0.477 0.231
O 0.821 0.305 0.567
O 0.977 0.160 0.807
O 0.990 0.660 0.608

raw formation energy	-2250	meV/atom
symmetry	Cm, No. 8
ρ	2.62	Mg/m³
M_tot	3.000	μB/cell
E	-7.949	eV/atom

The following is a GGA-PBEsol calculation of an optimized crystal structure of CoPbBr2, from Alexandria.

abc: 6.104 6.104 6.104
angles: 146.45 129.82 61.73
Atoms (fractional coordinates):
Co 0.000 0.000 0.000
Pb 0.500 0.500 0.000
Br 0.165 0.665 0.500
Br 0.835 0.335 0.500

raw formation energy	-75	meV/atom
offset from the most stable computed form	0	meV/atom
symmetry	Immm, No. 71
ρ	7.40	Mg/m³
M_tot	1.726	μB/cell
E	-3.944	eV/atom

The following is a GGA-PBEsol calculation of an optimized crystal structure of Li2VO2F2, from Alexandria.

abc: 5.003 5.716 4.944
angles: 90.00 110.77 90.00
Atoms (fractional coordinates):
Li 0.000 0.108 0.250
Li 0.000 0.358 0.750
Li 0.000 0.642 0.250
Li 0.000 0.892 0.750
V 0.500 0.408 0.250
V 0.500 0.592 0.750
O 0.268 0.392 0.492
O 0.268 0.608 0.992
O 0.732 0.392 0.008
O 0.732 0.608 0.508
F 0.238 0.147 0.024
F 0.238 0.853 0.524
F 0.762 0.147 0.476
F 0.762 0.853 0.976

raw formation energy	-2612	meV/atom
offset from the most stable computed form	53	meV/atom
symmetry	P2/c, No. 13
ρ	3.39	Mg/m³
M_tot	2.002	μB/cell
E	-6.601	eV/atom

The following is a GGA-PBEsol calculation of an optimized crystal structure of CaRe3Cl, from Alexandria.

abc: 4.415 4.415 4.415
angles: 90.00 90.00 90.00
Atoms (fractional coordinates):
Ca 0.000 0.000 0.000
Re 0.000 0.500 0.500
Re 0.500 0.000 0.500
Re 0.500 0.500 0.000
Cl 0.500 0.500 0.500

raw formation energy	1475	meV/atom
symmetry	Pm-3m, No. 221
ρ	12.23	Mg/m³
M_tot	0.001	μB/cell
E	-7.353	eV/atom

The following is a GGA-PBEsol calculation of an optimized crystal structure of Fe2RhW, from Alexandria.

abc: 4.542 4.542 4.542
angles: 132.40 132.40 69.60
Atoms (fractional coordinates):
Fe 0.000 0.000 0.000
Fe 0.750 0.250 0.500
Rh 0.500 0.500 0.000
W 0.250 0.750 0.500

offset from the most stable computed form	42	meV/atom
symmetry	I-4m2, No. 119
energy of formation from the pure elements	-0.05	eV per formula unit
ρ	13.20	Mg/m³
M_tot	3.000	μB/cell
E	-9.980	eV/atom

The following is a GGA-PBEsol calculation of an optimized crystal structure of Hf2CoH, from Alexandria.

abc: 4.279 4.279 4.279
angles: 60.00 60.00 60.00
Atoms (fractional coordinates):
Hf 0.250 0.250 0.250
Hf 0.750 0.750 0.750
Co 0.000 0.000 0.000
H 0.500 0.500 0.500

offset from the most stable computed form	162	meV/atom
symmetry	Fm-3m, No. 225
ρ	12.49	Mg/m³
M_tot	0.000	μB/cell
E	-8.034	eV/atom

The following is a GGA-PBEsol calculation of an optimized crystal structure of ZnRh2AuC, from Alexandria.

abc: 3.974 3.974 4.275
angles: 90.00 90.00 90.00
Atoms (fractional coordinates):
Zn 0.000 0.000 0.000
Rh 0.000 0.500 0.500
Rh 0.500 0.000 0.500
Au 0.500 0.500 0.000
C 0.500 0.500 0.500

symmetry	P4/mmm, No. 123
energy of formation from the pure elements	0.88	eV per formula unit
ρ	11.81	Mg/m³
M_tot	0.000	μB/cell
E	-6.110	eV/atom

The following is a GGA-PBEsol calculation of an optimized crystal structure of TaTiAsSe2, from Alexandria.

abc: 4.914 4.914 4.955
angles: 90.00 90.00 90.00
Atoms (fractional coordinates):
Ta 0.000 0.000 0.000
Ti 0.500 0.500 0.500
As 0.000 0.000 0.500
Se 0.000 0.500 0.000
Se 0.500 0.000 0.000

raw formation energy	272	meV/atom
offset from the most stable computed form	0	meV/atom
symmetry	P4/mmm, No. 123
ρ	6.41	Mg/m³
M_tot	1.914	μB/cell
E	-6.465	eV/atom

The following is a GGA-PBEsol calculation of an optimized crystal structure of BaCoTe2, from Alexandria.

abc: 3.446 3.446 9.135
angles: 90.00 90.00 90.00
Atoms (fractional coordinates):
Ba 0.000 0.000 0.000
Co 0.500 0.500 0.277
Te 0.000 0.000 0.371
Te 0.500 0.500 0.732

raw formation energy	-167	meV/atom
symmetry	P4mm, No. 99
ρ	6.91	Mg/m³
M_tot	0.000	μB/cell
E	-4.401	eV/atom

The following is a GGA-PBEsol calculation of an optimized crystal structure of TePd2N, from Alexandria.

abc: 6.870 6.870 6.870
angles: 138.44 138.44 60.22
Atoms (fractional coordinates):
Te 0.000 0.000 0.000
Te 0.750 0.250 0.500
Pd 0.262 0.625 0.137
Pd 0.375 0.512 0.637
Pd 0.488 0.125 0.863
Pd 0.875 0.738 0.363
N 0.250 0.750 0.500
N 0.500 0.500 0.000

raw formation energy	257	meV/atom
symmetry	I-42d, No. 122
ρ	8.34	Mg/m³
M_tot	0.000	μB/cell
E	-5.736	eV/atom

The following is a GGA-PBEsol calculation of an optimized crystal structure of Be2WCl, from Alexandria.

abc: 7.418 7.418 7.418
angles: 22.28 22.28 22.28
Atoms (fractional coordinates):
Be 0.246 0.246 0.246
Be 0.754 0.754 0.754
W 0.000 0.000 0.000
Cl 0.500 0.500 0.500

raw formation energy	265	meV/atom
offset from the most stable computed form	0	meV/atom
symmetry	R-3m, No. 166
ρ	7.66	Mg/m³
M_tot	0.000	μB/cell
E	-5.689	eV/atom

The following is a GGA-PBEsol calculation of an optimized crystal structure of LaPCO2, from Alexandria.

abc: 4.133 4.133 3.592
angles: 90.00 90.00 90.00
Atoms (fractional coordinates):
La 0.000 0.000 0.000
P 0.500 0.500 0.000
C 0.500 0.500 0.500
O 0.000 0.500 0.500
O 0.500 0.000 0.500

raw formation energy	-397	meV/atom
symmetry	P4/mmm, No. 123
ρ	5.79	Mg/m³
M_tot	0.000	μB/cell
E	-6.653	eV/atom

The following is a GGA-PBEsol calculation of an optimized crystal structure of LaCoSn2Rh, from Alexandria.

abc: 4.969 4.969 4.746
angles: 90.00 90.00 90.00
Atoms (fractional coordinates):
La 0.000 0.000 0.000
Co 0.500 0.500 0.000
Sn 0.000 0.500 0.500
Sn 0.500 0.000 0.500
Rh 0.500 0.500 0.500

symmetry	P4/mmm, No. 123
energy of formation from the pure elements	0.11	eV per formula unit
ρ	7.63	Mg/m³
M_tot	2.125	μB/cell
E	-5.926	eV/atom

The following is a GGA-PBEsol calculation of an optimized crystal structure of Ta2CdSi, from Alexandria.

abc: 2.855 4.118 5.766
angles: 90.00 98.23 90.00
Atoms (fractional coordinates):
Ta 0.069 0.000 0.270
Ta 0.931 0.000 0.730
Cd 0.500 0.500 0.000
Si 0.500 0.500 0.500

raw formation energy	22	meV/atom
symmetry	P2/m, No. 10
ρ	12.44	Mg/m³
M_tot	0.000	μB/cell
E	-7.989	eV/atom